1.
12
Lattice="6.778 0.000 0.000 1.674 6.755 0.000 2.473 2.906 6.023" Properties=species:S:1:pos:R:3 comment="RhS4F PBE optimized geometry" e_form_raw_kj_per_mol_fu=-185 pbc="T T T"
Rh 2.387 3.186 0.272
Rh 8.538 6.474 5.751
S 3.632 7.953 5.393
S 3.640 6.193 4.190
S 4.138 4.838 0.432
S 3.743 1.683 1.476
S 7.182 7.977 4.547
S 6.787 4.822 5.591
S 7.285 3.467 1.833
S 7.293 1.707 0.630
F 3.651 4.436 3.660
F 7.275 5.224 2.363

***

2.
12
Lattice="3.550 -6.188 0.000 3.550 6.188 0.000 -2.382 0.000 6.787" Properties=species:S:1:pos:R:3 comment="Tb2Sm3HoSe6 PBE optimized geometry" e_form_raw_kj_per_mol_fu=-2073 pbc="T T T"
Tb 3.550 4.123 0.000
Tb 3.550 -4.123 0.000
Sm -1.191 0.000 3.393
Sm 2.360 2.087 3.393
Sm 2.360 -2.087 3.393
Ho 3.550 0.000 0.000
Se -0.001 2.046 5.151
Se 1.198 0.000 1.647
Se -0.001 -2.046 5.151
Se 4.720 2.046 1.636
Se 3.521 0.000 5.140
Se 4.720 -2.046 1.636

***

3.
6
Lattice="4.838 -1.518 0.000 4.838 1.518 0.000 -4.528 0.000 5.297" Properties=species:S:1:pos:R:3 comment="Mo2C PBE optimized geometry" formation_energy_ev_per_atom=0.170 pbc="T T T"
Mo -0.841 0.000 1.940
Mo -0.993 0.000 4.792
Mo 6.142 0.000 0.504
Mo 5.989 0.000 3.357
C 1.350 0.000 1.939
C 3.799 0.000 3.358

***

4.
3
Lattice="4.914 0.000 0.000 -2.457 4.256 0.000 0.000 0.000 2.786" Properties=species:S:1:pos:R:3 comment="SrReW PBE optimized geometry" relative_energy_ev_per_atom=0.525 formation_energy_ev_per_atom=1.212 pbc="T T T"
Sr 0.000 0.000 0.000
Re 0.000 2.837 1.711
W 2.457 1.419 1.050

***

5.
5
Lattice="4.471 0.000 0.000 0.000 4.471 0.000 0.000 0.000 4.471" Properties=species:S:1:pos:R:3 comment="AlPIr3 PBE optimized geometry" relative_energy_ev_per_atom=0.915 formation_energy_ev_per_atom=1.328 pbc="T T T"
Al 0.000 0.000 0.000
P 2.235 2.235 2.235
Ir 0.000 0.000 2.235
Ir 0.000 2.235 0.000
Ir 2.235 0.000 0.000

***

6.
6
Lattice="-1.766 1.766 15.231 1.766 -1.766 15.231 1.766 1.766 -15.231" Properties=species:S:1:pos:R:3 comment="NdTmTl PBE optimized geometry" relative_energy_ev_per_atom=0.291 formation_energy_ev_per_atom=0.040 pbc="T T T"
Nd 0.000 0.000 1.765
Nd 0.000 0.000 28.697
Tm 0.000 0.000 10.933
Tm 0.000 0.000 19.529
Tl 0.000 0.000 6.484
Tl 0.000 0.000 23.979

***

7.
19
Lattice="7.838 -4.662 0.000 7.838 4.662 0.000 -0.312 0.000 8.673" Properties=species:S:1:pos:R:3 comment="Pm5Nd2Dy12 PBE optimized geometry" relative_energy_ev_per_atom=0.077 formation_energy_ev_per_atom=0.128 pbc="T T T"
Pm 0.000 0.000 0.000
Pm 3.584 0.000 0.625
Pm 4.459 0.000 4.165
Pm 10.904 0.000 4.507
Pm 11.779 0.000 8.048
Nd 7.682 1.638 4.336
Nd 7.682 -1.638 4.336
Dy 5.416 2.997 2.246
Dy 1.093 0.000 3.261
Dy 5.548 1.772 7.249
Dy 9.947 2.997 6.427
Dy 9.815 1.772 1.424
Dy 6.887 0.000 1.421
Dy 8.476 0.000 7.251
Dy 5.548 -1.772 7.249
Dy 5.416 -2.997 2.246
Dy 9.815 -1.772 1.424
Dy 14.270 0.000 5.411
Dy 9.947 -2.997 6.427

***

8.
5
Lattice="5.334 0.000 0.000 0.000 5.334 0.000 0.000 0.000 5.334" Properties=species:S:1:pos:R:3 comment="LaTl3P PBE optimized geometry" relative_energy_ev_per_atom=0.000 formation_energy_ev_per_atom=0.238 pbc="T T T"
La 0.000 0.000 0.000
Tl 0.000 2.667 2.667
Tl 2.667 0.000 2.667
Tl 2.667 2.667 0.000
P 2.667 2.667 2.667